Compound: Ge2CSe2
Source: the Alexandria database
Functional: PBE
Structure: optimized geometry

Cell and atoms, written as CIF:
```
data_Ge2CSe2
_chemical_formula_sum 'Ge4 C2 Se4'
_space_group_name_H-M_alt 'P 4/m b m'
_space_group_IT_number 127
_space_group_name_Hall '-P 4 2ab'
_cell_length_a 5.6253
_cell_length_b 5.6253
_cell_length_c 5.7368
_cell_angle_alpha 90.00
_cell_angle_beta 90.00
_cell_angle_gamma 90.00
loop_
_atom_site_label
_atom_site_fract_x
_atom_site_fract_y
_atom_site_fract_z
Ge1 0.1679 0.3321 0.0000
C1 0.0000 0.0000 0.0000
Se1 0.2350 0.2650 0.5000
```

Summary:
VASP energy	-21.6	eV/f.u.
energy above the most stable polymorph in this dataset	0.0	meV/atom
uncorrected formation energy	0.77	eV per atom

***

Compound: GeCSe2
Source: the Alexandria database
Functional: PBE
Structure: optimized geometry

Cell and atoms, written as CIF:
```
data_GeCSe2
_chemical_formula_sum 'Ge3 C3 Se6'
_space_group_name_H-M_alt 'R -3 m'
_space_group_IT_number 166
_space_group_name_Hall '-R 3 2"'
_cell_length_a 3.1551
_cell_length_b 3.1551
_cell_length_c 25.0248
_cell_angle_alpha 90.00
_cell_angle_beta 90.00
_cell_angle_gamma 120.00
loop_
_atom_site_label
_atom_site_fract_x
_atom_site_fract_y
_atom_site_fract_z
Ge1 0.0000 0.0000 0.0000
C1 0.0000 0.0000 0.5000
Se1 0.0000 0.0000 0.1112
```

Summary:
VASP energy	-16.1	eV/f.u.
energy above the most stable polymorph in this dataset	263.5	meV/atom
uncorrected formation energy	1.19	eV per atom

***

Compound: Ge2CSe2
Source: the Alexandria database
Functional: PBE
Structure: optimized geometry

Cell and atoms, written as CIF:
```
data_Ge2CSe2
_chemical_formula_sum 'Ge4 C2 Se4'
_space_group_name_H-M_alt 'I 4/m m m'
_space_group_IT_number 139
_space_group_name_Hall '-I 4 2'
_cell_length_a 5.4796
_cell_length_b 5.4796
_cell_length_c 6.6594
_cell_angle_alpha 90.00
_cell_angle_beta 90.00
_cell_angle_gamma 90.00
loop_
_atom_site_label
_atom_site_fract_x
_atom_site_fract_y
_atom_site_fract_z
Ge1 0.0000 0.0000 0.2133
C1 0.0000 0.0000 0.5000
Se1 0.0000 0.5000 0.2500
```

Summary:
VASP energy	-21.2	eV/f.u.
energy above the most stable polymorph in this dataset	68.3	meV/atom
uncorrected formation energy	0.84	eV per atom